[1]
## CrCo2Br (PBE-GGA)

Data for a relaxed CrCo2Br crystal.

a = 2.8471 Å, b = 3.1752 Å, c = 6.6197 Å
α = 89.97°, β = 90.00°, γ = 90.00°
Last column: nearest neighbours and their distance in Å.
Positions (direct):
Co (0.0000, 0.7498, 0.4348)  1 Co 2.45, 4 Cr 2.46, 2 Br 2.53
Co (0.0000, 0.7502, 0.0652)  1 Co 2.45, 4 Cr 2.46, 2 Br 2.53
Cr (0.5000, 0.2500, 0.2500)  8 Co 2.46
Br (0.5000, 0.7500, 0.7500)  4 Co 2.53

Formation energy from raw total energies ... 0.49 eV per atom
Volume ... 59.84 Å³ per cell
Size of the total moment ... 0.287 μB per atom
Relative energy among the computed polymorphs ... 0.00 eV/f.u.
Space-group type ... Pmmm

---

[2]
## CrCo2Br (PBE-GGA)

Data for a relaxed CrCo2Br crystal.

a = 5.5917 Å, b = 5.5917 Å, c = 5.9183 Å
α = 61.81°, β = 61.81°, γ = 90.00°
Last column: nearest neighbours and their distance in Å.
Positions (direct):
Br (0.0000, 0.0000, 0.0000)  4 Co 2.37
Br (0.7500, 0.2500, 0.5000)  4 Co 2.37
Co (0.1561, 0.6250, 0.2500)  2 Cr 2.16, 2 Br 2.37
Co (0.8750, 0.8439, 0.7500)  2 Cr 2.16, 2 Br 2.37
Co (0.5939, 0.1250, 0.2500)  2 Cr 2.16, 2 Br 2.37
Co (0.3750, 0.4061, 0.7500)  2 Cr 2.16, 2 Br 2.37
Cr (0.5000, 0.5000, 0.0000)  4 Co 2.16
Cr (0.2500, 0.7500, 0.5000)  4 Co 2.16

Formation energy from raw total energies ... 0.94 eV per atom
Volume ... 137.69 Å³ per cell
Size of the total moment ... 0.120 μB per atom
Relative energy among the computed polymorphs ... 1.79 eV/f.u.
Space-group type ... I-42d

---

[3]
## Cr3CoBr (PBE-GGA)

Data for a relaxed Cr3CoBr crystal.

a = 4.3043 Å, b = 4.3043 Å, c = 4.3043 Å
α = 90.00°, β = 90.00°, γ = 90.00°
Last column: nearest neighbours and their distance in Å.
Positions (direct):
Cr (0.5000, 0.0000, 0.0000)  2 Br 2.15
Cr (0.0000, 0.5000, 0.0000)  2 Br 2.15
Cr (0.0000, 0.0000, 0.5000)  2 Br 2.15
Co (0.5000, 0.5000, 0.5000)  12 Cr 3.04
Br (0.0000, 0.0000, 0.0000)  6 Cr 2.15

Formation energy from raw total energies ... 1.70 eV per atom
Volume ... 79.74 Å³ per cell
Size of the total moment ... 0.557 μB per atom
Relative energy among the computed polymorphs ... 3.03 eV/f.u.
Space-group type ... Pm-3m

---

[4]
## CrCo2Br (PBE-GGA)

Data for a relaxed CrCo2Br crystal.

a = 8.0422 Å, b = 8.0422 Å, c = 8.0422 Å
α = 20.49°, β = 20.49°, γ = 20.49°
Last column: nearest neighbours and their distance in Å.
Positions (direct):
Br (0.7500, 0.7500, 0.7500)  6 Co 2.70, 6 Br 2.86
Co (0.5072, 0.5072, 0.5072)  3 Cr 2.44, 3 Br 2.70
Co (0.9928, 0.9928, 0.9928)  3 Cr 2.44, 3 Br 2.70
Cr (0.2500, 0.2500, 0.2500)  6 Co 2.44

Formation energy from raw total energies ... 0.67 eV per atom
Volume ... 55.81 Å³ per cell
Size of the total moment ... 0.928 μB per atom
Relative energy among the computed polymorphs ... 0.71 eV/f.u.
Space-group type ... R-3m

---

[5]
## CrCoBr2 (PBE-GGA)

Data for a relaxed CrCoBr2 crystal.

a = 4.9550 Å, b = 4.9550 Å, c = 4.9550 Å
α = 60.00°, β = 60.00°, γ = 60.00°
Last column: nearest neighbours and their distance in Å.
Positions (direct):
Br (0.0000, 0.0000, 0.0000)  4 Cr 3.03, 4 Br 3.03
Br (0.2500, 0.2500, 0.2500)  4 Br 3.03, 4 Co 3.03
Cr (0.7500, 0.7500, 0.7500)  4 Co 3.03, 4 Br 3.03
Co (0.5000, 0.5000, 0.5000)  4 Cr 3.03, 4 Br 3.03

Formation energy from raw total energies ... 0.93 eV per atom
Volume ... 86.02 Å³ per cell
Size of the total moment ... 1.721 μB per atom
Relative energy among the computed polymorphs ... 3.61 eV/f.u.
Space-group type ... F-43m

---

[6]
## CrCoBr2 (PBE-GGA)

Data for a relaxed CrCoBr2 crystal.

a = 5.3669 Å, b = 5.3669 Å, c = 3.8433 Å
α = 66.74°, β = 66.74°, γ = 90.81°
Last column: nearest neighbours and their distance in Å.
Positions (direct):
Br (0.0000, 0.0000, 0.0000)  2 Co 2.61, 2 Cr 2.61
Br (0.5000, 0.5000, 0.0000)  2 Cr 2.61, 2 Co 2.61
Cr (0.0000, 0.5000, 0.5000)  4 Br 2.61
Co (0.5000, 0.0000, 0.5000)  4 Br 2.61

Formation energy from raw total energies ... 0.42 eV per atom
Volume ... 91.52 Å³ per cell
Size of the total moment ... 1.614 μB per atom
Relative energy among the computed polymorphs ... 1.55 eV/f.u.
Space-group type ... C2/m

---

[7]
## CrCo2Br (PBE-GGA)

Data for a relaxed CrCo2Br crystal.

a = 5.1782 Å, b = 5.1782 Å, c = 5.1782 Å
α = 146.58°, β = 131.81°, γ = 59.91°
Last column: nearest neighbours and their distance in Å.
Positions (direct):
Cr (0.7500, 0.2500, 0.5000)  4 Br 2.59, 4 Co 2.68
Co (0.9982, 0.9982, 0.0000)  4 Co 2.59, 2 Cr 2.68, 2 Br 2.71
Co (0.5018, 0.5018, 0.0000)  4 Co 2.59, 2 Cr 2.68, 2 Br 2.71
Br (0.2500, 0.7500, 0.5000)  4 Cr 2.59, 4 Co 2.71

Formation energy from raw total energies ... 0.78 eV per atom
Volume ... 56.48 Å³ per cell
Size of the total moment ... 1.596 μB per atom
Relative energy among the computed polymorphs ... 1.17 eV/f.u.
Space-group type ... Immm

---

[8]
## CrCo2Br (PBE-GGA)

Data for a relaxed CrCo2Br crystal.

a = 4.6056 Å, b = 4.6056 Å, c = 4.6056 Å
α = 131.10°, β = 131.10°, γ = 71.65°
Last column: nearest neighbours and their distance in Å.
Positions (direct):
Co (0.5000, 0.5000, 0.0000)  4 Cr 2.67, 4 Br 2.67, 4 Co 2.70
Co (0.0000, 0.0000, 0.0000)  4 Cr 2.67, 4 Br 2.67, 4 Co 2.70
Br (0.7500, 0.2500, 0.5000)  8 Co 2.67, 4 Cr 2.70
Cr (0.2500, 0.7500, 0.5000)  8 Co 2.67, 4 Br 2.70

Formation energy from raw total energies ... 0.85 eV per atom
Volume ... 54.27 Å³ per cell
Size of the total moment ... 0.385 μB per atom
Relative energy among the computed polymorphs ... 1.44 eV/f.u.
Space-group type ... I4/mmm

---

[9]
## CrCo3Br (PBE-GGA)

Data for a relaxed CrCo3Br crystal.

a = 4.3258 Å, b = 4.3258 Å, c = 4.3258 Å
α = 90.00°, β = 90.00°, γ = 90.00°
Last column: nearest neighbours and their distance in Å.
Positions (direct):
Co (0.0000, 0.0000, 0.5000)  2 Cr 2.16
Co (0.5000, 0.0000, 0.0000)  2 Cr 2.16
Co (0.0000, 0.5000, 0.0000)  2 Cr 2.16
Cr (0.0000, 0.0000, 0.0000)  6 Co 2.16
Br (0.5000, 0.5000, 0.5000)  12 Co 3.06

Formation energy from raw total energies ... 1.38 eV per atom
Volume ... 80.94 Å³ per cell
Size of the total moment ... 0.493 μB per atom
Relative energy among the computed polymorphs ... 0.38 eV/f.u.
Space-group type ... Pm-3m

---

[10]
## CrCoBr2 (PBE-GGA)

Data for a relaxed CrCoBr2 crystal.

a = 8.0792 Å, b = 8.0792 Å, c = 8.0792 Å
α = 156.28°, β = 153.66°, γ = 35.73°
Last column: nearest neighbours and their distance in Å.
Positions (direct):
Br (0.9885, 0.9885, 0.0000)  4 Co 2.57
Br (0.7489, 0.2489, 0.5000)  4 Cr 2.69
Cr (0.3174, 0.8174, 0.5000)  2 Co 2.57, 4 Br 2.69
Co (0.4452, 0.4452, 0.0000)  4 Br 2.57, 2 Cr 2.57

Formation energy from raw total energies ... 0.27 eV per atom
Volume ... 93.98 Å³ per cell
Size of the total moment ... 1.349 μB per atom
Relative energy among the computed polymorphs ... 0.97 eV/f.u.
Space-group type ... Imm2

---

[11]
## CrCoBr2 (PBE-GGA)

Data for a relaxed CrCoBr2 crystal.

a = 3.8720 Å, b = 3.8720 Å, c = 7.3912 Å
α = 87.84°, β = 87.84°, γ = 60.00°
Last column: nearest neighbours and their distance in Å.
Positions (direct):
Br (0.3878, 0.3878, 0.3681)  1 Co 2.48, 3 Cr 2.67-2.68
Br (0.0301, 0.0301, 0.8608)  3 Co 2.52
Cr (0.7111, 0.7111, 0.5671)  3 Co 2.45, 3 Br 2.67-2.68
Co (0.3710, 0.3710, 0.7040)  3 Cr 2.45, 4 Br 2.48-2.52

Formation energy from raw total energies ... 0.04 eV per atom
Volume ... 95.88 Å³ per cell
Size of the total moment ... 0.750 μB per atom
Relative energy among the computed polymorphs ... 0.05 eV/f.u.
Space-group type ... Cm

---

[12]
## CrCoBr2 (PBE-GGA)

Data for a relaxed CrCoBr2 crystal.

a = 8.1884 Å, b = 8.1884 Å, c = 8.1884 Å
α = 26.58°, β = 26.58°, γ = 26.58°
Last column: nearest neighbours and their distance in Å.
Positions (direct):
Co (0.5000, 0.5000, 0.5000)  6 Br 2.59
Br (0.1069, 0.1069, 0.1069)  1 Cr 2.53, 3 Co 2.59
Br (0.8931, 0.8931, 0.8931)  1 Cr 2.53, 3 Co 2.59
Cr (0.0000, 0.0000, 0.0000)  2 Br 2.53

Formation energy from raw total energies ... 0.31 eV per atom
Volume ... 96.89 Å³ per cell
Size of the total moment ... 1.749 μB per atom
Relative energy among the computed polymorphs ... 1.14 eV/f.u.
Space-group type ... R-3m